TiHgTe2 | GGA-PBE | optimized geometry

Geometry as POSCAR:
```
TiHgTe2
1.0
-3.719 3.719 5.703
3.719 -3.719 5.703
3.719 3.719 -5.703
Ti Hg Te
2 2 4
Cartesian
0.000 0.000 0.000
0.000 3.719 2.852
3.719 0.000 2.852
0.000 0.000 5.703
5.579 1.178 -1.426
1.178 1.860 1.426
-1.860 2.541 4.278
2.541 1.860 7.129
```

Computed properties:
formation energy (no corrections): -0.213 eV per atom
SG: I-42d, No. 122
Fermi-level density of states: 0.000 states/eV per atom
magnetization: 0.000 Bohr magnetons per cell
energy: -3.833 eV per atom

=====

TiHgTe2 | GGA-PBE | optimized geometry

Geometry as POSCAR:
```
TiHgTe2
1.0
1.628 0.940 12.683
-1.628 0.940 12.683
0.000 -1.880 12.683
Ti Hg Te
1 1 2
Cartesian
0.000 0.000 0.000
0.000 0.000 19.024
0.000 0.000 2.758
0.000 0.000 35.291
```

Computed properties:
formation energy (no corrections): 0.252 eV per atom
SG: R-3m, No. 166
Fermi-level density of states: 0.960 states/eV per atom
magnetization: 1.581 Bohr magnetons per cell
energy: -3.368 eV per atom

=====

U3TiHg3Te8 | GGA-PBE | optimized geometry

Geometry as POSCAR:
```
U3TiHg3Te8
1.0
4.140 2.390 9.478
-4.140 2.390 9.478
0.000 -4.781 9.478
U Ti Hg Te
3 1 3 8
Cartesian
-2.070 -1.195 9.478
-2.070 1.195 18.957
0.000 2.390 9.478
0.000 0.000 0.000
-4.140 0.000 14.218
-2.070 1.195 4.739
2.070 1.195 4.739
0.000 -2.541 11.229
-2.201 1.271 11.229
-2.201 -1.271 17.206
0.000 0.000 7.609
0.000 0.000 20.826
2.201 1.271 11.229
2.201 -1.271 17.206
0.000 2.541 17.206
```

Computed properties:
formation energy (no corrections): -0.457 eV per atom
SG: R-3m, No. 166
Fermi-level density of states: 1.267 states/eV per atom
magnetization: 6.000 Bohr magnetons per cell
energy: -4.977 eV per atom

=====

Tl6HgTe4 | GGA-PBE | optimized geometry

Geometry as POSCAR:
```
Tl6HgTe4
1.0
11.252 0.000 0.000
-5.626 9.744 0.000
0.000 0.000 7.500
Tl Hg Te
12 2 8
Cartesian
-2.433 5.091 0.000
0.000 3.085 2.244
-2.954 8.202 2.244
2.671 1.542 5.994
2.433 5.091 0.000
0.000 9.306 0.000
5.626 0.438 3.750
3.192 4.653 3.750
2.954 8.202 2.244
8.580 1.542 5.994
5.626 6.659 5.994
8.059 4.653 3.750
0.000 6.496 4.873
5.626 3.248 1.122
0.000 3.669 5.572
-2.448 7.910 5.572
0.000 6.496 1.881
3.177 1.834 1.822
2.448 7.910 5.572
5.626 3.248 5.632
8.074 1.834 1.822
5.626 6.075 1.822
```

Computed properties:
formation energy (no corrections): -0.259 eV per atom
SG: P6_3mc, No. 186
Fermi-level density of states: 0.021 states/eV per atom
magnetization: 0.000 Bohr magnetons per cell
energy: -2.719 eV per atom

=====

Tl8Hg5Te | GGA-PBE | optimized geometry

Geometry as POSCAR:
```
Tl8Hg5Te
1.0
-4.786 4.786 4.815
4.786 -4.786 4.815
4.786 4.786 -4.815
Tl Hg Te
8 5 1
Cartesian
6.396 0.650 -0.561
1.732 -0.815 2.775
3.054 5.601 -2.041
0.650 3.175 0.561
3.970 3.054 2.041
4.136 1.611 5.377
-1.611 4.136 4.254
0.815 1.732 6.856
3.621 2.577 -1.146
4.786 0.000 2.408
2.208 -1.165 5.962
1.165 2.208 3.669
2.577 5.950 1.146
0.000 0.000 0.000
```

Computed properties:
formation energy (no corrections): -0.042 eV per atom
SG: I-4, No. 82
Fermi-level density of states: 0.466 states/eV per atom
magnetization: 0.000 Bohr magnetons per cell
energy: -1.727 eV per atom

=====

TlHg2Te | GGA-PBE | optimized geometry

Geometry as POSCAR:
```
TlHg2Te
1.0
-2.165 2.229 6.376
2.165 -2.229 6.376
2.165 2.229 -6.376
Tl Hg Te
1 2 1
Cartesian
0.000 0.000 0.000
0.000 0.000 5.457
0.000 2.229 2.772
2.165 0.000 2.676
```

Computed properties:
formation energy (no corrections): -0.054 eV per atom
SG: Imm2, No. 44
Fermi-level density of states: 0.273 states/eV per atom
magnetization: 0.000 Bohr magnetons per cell
polymorph energy (0 for the lowest one): 9 meV per atom
energy: -1.582 eV per atom

=====

Tl4HgTe | GGA-PBE | optimized geometry

Geometry as POSCAR:
```
Tl4HgTe
1.0
4.536 0.000 0.000
-2.227 6.289 0.000
-2.267 -1.288 7.014
Tl Hg Te
4 1 1
Cartesian
0.000 0.000 0.000
-2.231 2.254 4.988
0.051 5.270 2.523
2.303 2.860 0.559
0.008 -0.757 4.823
0.033 1.918 2.701
```

Computed properties:
formation energy (no corrections): -0.113 eV per atom
SG: P1, No. 1
Fermi-level density of states: 0.289 states/eV per atom
magnetization: 0.000 Bohr magnetons per cell
polymorph energy (0 for the lowest one): 0 meV per atom
energy: -2.265 eV per atom

=====

Tl11Hg9Te4 | GGA-PBE | optimized geometry

Geometry as POSCAR:
```
Tl11Hg9Te4
1.0
8.079 -11.074 0.000
8.079 11.074 0.000
0.000 0.000 4.378
Tl Hg Te
11 9 4
Cartesian
0.000 0.000 0.000
3.612 3.893 0.000
8.079 7.289 0.000
4.289 0.000 0.000
8.079 2.602 0.000
3.612 -3.893 0.000
12.546 3.893 0.000
8.079 -2.602 0.000
11.868 0.000 0.000
8.079 -7.289 0.000
12.546 -3.893 0.000
1.930 1.721 2.189
6.456 5.381 2.189
1.930 -1.721 2.189
9.701 5.381 2.189
8.079 0.000 2.189
6.456 -5.381 2.189
14.228 1.721 2.189
9.701 -5.381 2.189
14.228 -1.721 2.189
5.369 2.379 2.189
5.369 -2.379 2.189
10.789 2.379 2.189
10.789 -2.379 2.189
```

Computed properties:
formation energy (no corrections): -0.097 eV per atom
SG: Cmmm, No. 65
Fermi-level density of states: 0.208 states/eV per atom
magnetization: 0.000 Bohr magnetons per cell
energy: -1.818 eV per atom

=====

Tl12Hg2Te5 | GGA-PBE | optimized geometry

Geometry as POSCAR:
```
Tl12Hg2Te5
1.0
10.393 -3.935 0.000
10.393 3.935 0.000
-3.435 0.000 8.781
Tl Hg Te
12 2 5
Cartesian
-0.265 0.000 1.710
5.399 1.890 3.454
4.178 2.175 8.584
13.173 2.175 0.197
11.952 1.890 5.327
8.385 0.000 2.402
8.965 0.000 6.379
5.399 -1.890 3.454
4.178 -2.175 8.584
13.173 -2.175 0.197
11.952 -1.890 5.327
17.615 0.000 7.071
8.675 2.419 4.390
8.675 -2.419 4.390
2.732 0.000 3.071
2.048 0.000 7.750
10.393 0.000 0.000
15.303 0.000 1.031
14.619 0.000 5.710
```

Computed properties:
formation energy (no corrections): -0.159 eV per atom
SG: C2/m, No. 12
Fermi-level density of states: 0.198 states/eV per atom
magnetization: 0.000 Bohr magnetons per cell
energy: -2.512 eV per atom

=====

Tl5Hg5Te2 | GGA-PBE | optimized geometry

Geometry as POSCAR:
```
Tl5Hg5Te2
1.0
4.523 0.000 0.000
-2.220 9.086 0.000
-2.261 -2.318 9.694
Tl Hg Te
5 5 2
Cartesian
0.000 0.000 0.000
0.007 1.464 3.298
0.006 4.843 1.788
0.036 1.925 7.906
0.035 5.304 6.396
-2.241 3.384 4.847
-2.232 6.632 4.034
0.004 -1.388 7.353
0.038 8.156 2.341
2.274 0.136 5.660
-2.224 4.192 8.650
2.267 2.576 1.044
```

Computed properties:
formation energy (no corrections): -0.125 eV per atom
SG: P-1, No. 2
Fermi-level density of states: 0.209 states/eV per atom
magnetization: 0.000 Bohr magnetons per cell
energy: -1.761 eV per atom

=====

Tl5Hg2Te | GGA-PBE | optimized geometry

Geometry as POSCAR:
```
Tl5Hg2Te
1.0
-4.263 4.263 6.922
4.263 -4.263 6.922
4.263 4.263 -6.922
Tl Hg Te
10 4 2
Cartesian
0.000 0.000 0.000
2.958 -1.306 2.188
5.569 -1.306 4.734
5.569 1.306 2.188
2.958 1.306 4.734
0.000 0.000 6.922
1.306 2.958 2.188
-1.306 2.958 4.734
-1.306 5.569 2.188
1.306 5.569 4.734
3.010 1.254 0.000
3.010 -1.254 6.922
1.254 5.517 0.000
1.254 3.010 6.922
0.000 0.000 3.461
0.000 0.000 10.383
```

Computed properties:
formation energy (no corrections): -0.087 eV per atom
SG: I4/mcm, No. 140
Fermi-level density of states: 0.412 states/eV per atom
magnetization: 0.000 Bohr magnetons per cell
energy: -2.034 eV per atom

=====

TlHgTe | GGA-PBE | optimized geometry

Geometry as POSCAR:
```
TlHgTe
1.0
0.000 2.516 8.211
2.400 0.000 8.211
2.400 2.516 0.000
Tl Hg Te
1 1 1
Cartesian
0.000 0.000 0.000
2.400 2.516 5.311
2.400 2.516 10.543
```

Computed properties:
formation energy (no corrections): -0.024 eV per atom
SG: Fmm2, No. 42
Fermi-level density of states: 0.368 states/eV per atom
magnetization: 0.000 Bohr magnetons per cell
polymorph energy (0 for the lowest one): 160 meV per atom
energy: -1.960 eV per atom